(1)
# RbCu6Te4 PBE optimized geometry
# N(E_F) ... 4.425 states/eV/f.u.
# Formation energy without anion corrections ... -160 meV/atom
data_RbCu6Te4
_cell_length_a 4.265
_cell_length_b 4.265
_cell_length_c 28.021
_cell_angle_alpha 90.00
_cell_angle_beta 90.00
_cell_angle_gamma 90.00
_space_group_name_H-M_alt 'I 4/m m m'
_space_group_IT_number 139
_space_group_name_Hall '-I 4 2'
loop_
_atom_site_label
_atom_site_type_symbol
_atom_site_fract_x
_atom_site_fract_y
_atom_site_fract_z
Rb1 Rb 0.000 0.000 0.000
Cu1 Cu 0.000 0.500 0.132
Cu2 Cu 0.000 0.500 0.250
Te1 Te 0.000 0.000 0.193
Te2 Te 0.000 0.000 0.420

(2)
# RbCu3Te3 PBE optimized geometry
# Relative energy among the computed polymorphs ... 0 meV per atom
# N(E_F) ... 4.663 states/eV/f.u.
# Formation energy without anion corrections ... -312 meV/atom
data_RbCu3Te3
_cell_length_a 7.332
_cell_length_b 7.332
_cell_length_c 7.332
_cell_angle_alpha 90.00
_cell_angle_beta 90.00
_cell_angle_gamma 90.00
_space_group_name_H-M_alt 'P m -3 n'
_space_group_IT_number 223
_space_group_name_Hall '-P 4n 2 3'
loop_
_atom_site_label
_atom_site_type_symbol
_atom_site_fract_x
_atom_site_fract_y
_atom_site_fract_z
Rb1 Rb 0.000 0.000 0.000
Cu1 Cu 0.000 0.250 0.500
Te1 Te 0.000 0.500 0.250

(3)
# RbCuTe PBE optimized geometry
# N(E_F) ... 0.057 states/eV/f.u.
# Formation energy without anion corrections ... -586 meV/atom
data_RbCuTe
_cell_length_a 14.067
_cell_length_b 4.398
_cell_length_c 6.679
_cell_angle_alpha 90.00
_cell_angle_beta 103.18
_cell_angle_gamma 90.00
_space_group_name_H-M_alt 'C 1 2/m 1'
_space_group_IT_number 12
loop_
_space_group_symop_operation_xyz
'x,y,z'
'-x,-y,-z'
'-x,y,-z'
'x,-y,z'
'x+1/2,y+1/2,z'
'-x+1/2,-y+1/2,-z'
'-x+1/2,y+1/2,-z'
'x+1/2,-y+1/2,z'
loop_
_atom_site_label
_atom_site_type_symbol
_atom_site_fract_x
_atom_site_fract_y
_atom_site_fract_z
Rb1 Rb 0.099 0.000 0.304
Cu1 Cu 0.217 0.000 0.917
Te1 Te 0.128 0.500 0.773

(4)
# Rb2CuTe3 PBE optimized geometry
# Relative energy among the computed polymorphs ... 157 meV per atom
# N(E_F) ... 3.040 states/eV/f.u.
# Formation energy without anion corrections ... -405 meV/atom
data_Rb2CuTe3
_cell_length_a 7.5590
_cell_length_b 7.5590
_cell_length_c 12.7704
_cell_angle_alpha 90.00
_cell_angle_beta 90.00
_cell_angle_gamma 120.00
_space_group_name_H-M_alt 'P -3 m 1'
_space_group_IT_number 164
_space_group_name_Hall '-P 3 2"'
loop_
_atom_site_label
_atom_site_type_symbol
_atom_site_fract_x
_atom_site_fract_y
_atom_site_fract_z
Rb1 Rb 0.0000 0.0000 0.0000
Rb2 Rb 0.0000 0.0000 0.5000
Rb3 Rb 0.3333 0.6667 0.2521
Cu1 Cu 0.3333 0.6667 0.7125
Te1 Te 0.1484 0.2967 0.7504

(5)
# RbCuTe3 PBE optimized geometry
# Relative energy among the computed polymorphs ... 1670 meV per atom
# N(E_F) ... 10.200 states/eV/f.u.
# Formation energy without anion corrections ... 1312 meV/atom
data_RbCuTe3
_cell_length_a 6.158
_cell_length_b 6.158
_cell_length_c 6.158
_cell_angle_alpha 90.00
_cell_angle_beta 90.00
_cell_angle_gamma 90.00
_space_group_name_H-M_alt 'P m -3 m'
_space_group_IT_number 221
_space_group_name_Hall '-P 4 2 3'
loop_
_atom_site_label
_atom_site_type_symbol
_atom_site_fract_x
_atom_site_fract_y
_atom_site_fract_z
Rb1 Rb 0.000 0.000 0.000
Cu1 Cu 0.500 0.500 0.500
Te1 Te 0.000 0.000 0.500

(6)
# RbCu3Te3 PBE optimized geometry
# Relative energy among the computed polymorphs ... 18 meV per atom
# N(E_F) ... 2.659 states/eV/f.u.
# Formation energy without anion corrections ... -293 meV/atom
data_RbCu3Te3
_cell_length_a 7.1184
_cell_length_b 7.1184
_cell_length_c 27.9227
_cell_angle_alpha 90.00
_cell_angle_beta 90.00
_cell_angle_gamma 120.00
_space_group_name_H-M_alt 'R -3'
_space_group_IT_number 148
_space_group_name_Hall '-R 3'
loop_
_atom_site_label
_atom_site_type_symbol
_atom_site_fract_x
_atom_site_fract_y
_atom_site_fract_z
Rb1 Rb 0.0000 0.0000 0.1666
Cu1 Cu 0.0007 0.6629 0.6403
Te1 Te 0.0005 0.6717 0.4000

(7)
# Rb2CuTe3 PBE optimized geometry
# Relative energy among the computed polymorphs ... 0 meV per atom
# N(E_F) ... 2.638 states/eV/f.u.
# Formation energy without anion corrections ... -562 meV/atom
data_Rb2CuTe3
_cell_length_a 8.301
_cell_length_b 4.225
_cell_length_c 25.704
_cell_angle_alpha 90.00
_cell_angle_beta 90.00
_cell_angle_gamma 90.00
_space_group_name_H-M_alt 'P n m a'
_space_group_IT_number 62
loop_
_space_group_symop_operation_xyz
'x,y,z'
'-x,-y,-z'
'-x+1/2,-y,z+1/2'
'x+1/2,y,-z+1/2'
'x+1/2,-y+1/2,-z+1/2'
'-x+1/2,y+1/2,z+1/2'
'-x,y+1/2,-z'
'x,-y+1/2,z'
loop_
_atom_site_label
_atom_site_type_symbol
_atom_site_fract_x
_atom_site_fract_y
_atom_site_fract_z
Rb1 Rb 0.148 0.250 0.069
Rb2 Rb 0.233 0.750 0.806
Cu1 Cu 0.019 0.750 0.469
Te1 Te 0.060 0.250 0.634
Te2 Te 0.155 0.750 0.191
Te3 Te 0.204 0.250 0.458

(8)
# RbCuTe3 PBE optimized geometry
# Relative energy among the computed polymorphs ... 0 meV per atom
# N(E_F) ... 0.041 states/eV/f.u.
# Formation energy without anion corrections ... -358 meV/atom
data_RbCuTe3
_cell_length_a 6.528
_cell_length_b 6.668
_cell_length_c 8.545
_cell_angle_alpha 86.37
_cell_angle_beta 78.67
_cell_angle_gamma 71.37
_space_group_name_H-M_alt 'P 1'
_space_group_IT_number 1
loop_
_space_group_symop_operation_xyz
'x,y,z'
loop_
_atom_site_label
_atom_site_type_symbol
_atom_site_fract_x
_atom_site_fract_y
_atom_site_fract_z
Rb1 Rb 0.000 0.000 0.000
Rb2 Rb 0.213 0.413 0.607
Cu1 Cu 0.499 0.569 0.153
Cu2 Cu 0.712 0.844 0.455
Te1 Te 0.035 0.969 0.492
Te2 Te 0.177 0.444 0.115
Te3 Te 0.437 0.944 0.263
Te4 Te 0.600 0.916 0.761
Te5 Te 0.612 0.496 0.847
Te6 Te 0.775 0.469 0.344

(9)
# RbCu3Te3 PBE optimized geometry
# Relative energy among the computed polymorphs ... 127 meV per atom
# N(E_F) ... 6.489 states/eV/f.u.
# Formation energy without anion corrections ... -184 meV/atom
data_RbCu3Te3
_cell_length_a 10.1000
_cell_length_b 10.1000
_cell_length_c 4.2194
_cell_angle_alpha 90.00
_cell_angle_beta 90.00
_cell_angle_gamma 120.00
_space_group_name_H-M_alt 'P 63/m'
_space_group_IT_number 176
_space_group_name_Hall '-P 6c'
loop_
_atom_site_label
_atom_site_type_symbol
_atom_site_fract_x
_atom_site_fract_y
_atom_site_fract_z
Rb1 Rb 0.3333 0.6667 0.2500
Cu1 Cu 0.0230 0.1663 0.2500
Te1 Te 0.0401 0.3376 0.7500

(10)
# RbCuTe3 PBE optimized geometry
# Relative energy among the computed polymorphs ... 228 meV per atom
# N(E_F) ... 4.466 states/eV/f.u.
# Formation energy without anion corrections ... -130 meV/atom
data_RbCuTe3
_cell_length_a 5.340
_cell_length_b 5.340
_cell_length_c 5.340
_cell_angle_alpha 90.00
_cell_angle_beta 90.00
_cell_angle_gamma 90.00
_space_group_name_H-M_alt 'P m -3 m'
_space_group_IT_number 221
_space_group_name_Hall '-P 4 2 3'
loop_
_atom_site_label
_atom_site_type_symbol
_atom_site_fract_x
_atom_site_fract_y
_atom_site_fract_z
Rb1 Rb 0.000 0.000 0.000
Cu1 Cu 0.500 0.500 0.500
Te1 Te 0.000 0.500 0.500

(11)
# RbCuTe PBE optimized geometry
# N(E_F) ... 0.979 states/eV/f.u.
# Formation energy without anion corrections ... -200 meV/atom
data_RbCuTe
_cell_length_a 3.937
_cell_length_b 3.937
_cell_length_c 12.442
_cell_angle_alpha 90.00
_cell_angle_beta 90.00
_cell_angle_gamma 90.00
_space_group_name_H-M_alt 'I 4 m m'
_space_group_IT_number 107
_space_group_name_Hall 'I 4 -2'
loop_
_atom_site_label
_atom_site_type_symbol
_atom_site_fract_x
_atom_site_fract_y
_atom_site_fract_z
Rb1 Rb 0.000 0.000 0.000
Cu1 Cu 0.000 0.000 0.249
Te1 Te 0.000 0.000 0.722

(12)
# RbThCuTe4 PBE optimized geometry
# N(E_F) ... 5.775 states/eV/f.u.
# Formation energy without anion corrections ... -812 meV/atom
data_RbThCuTe4
_cell_length_a 7.728
_cell_length_b 6.291
_cell_length_c 10.388
_cell_angle_alpha 90.00
_cell_angle_beta 105.90
_cell_angle_gamma 90.00
_space_group_name_H-M_alt 'P 1 21/m 1'
_space_group_IT_number 11
loop_
_space_group_symop_operation_xyz
'x,y,z'
'-x,-y,-z'
'-x,y+1/2,-z'
'x,-y+1/2,z'
loop_
_atom_site_label
_atom_site_type_symbol
_atom_site_fract_x
_atom_site_fract_y
_atom_site_fract_z
Rb1 Rb 0.235 0.250 0.050
Th1 Th 0.271 0.250 0.557
Cu1 Cu 0.284 0.750 0.338
Te1 Te 0.003 0.503 0.702
Te2 Te 0.420 0.750 0.594
Te3 Te 0.457 0.750 0.163

(13)
# RbThCu2Te4 PBE optimized geometry
# N(E_F) ... 6.430 states/eV/f.u.
# Formation energy without anion corrections ... -458 meV/atom
data_RbThCu2Te4
_cell_length_a 6.916
_cell_length_b 8.726
_cell_length_c 9.171
_cell_angle_alpha 90.00
_cell_angle_beta 90.00
_cell_angle_gamma 90.00
_space_group_name_H-M_alt 'I 2 2 2'
_space_group_IT_number 23
loop_
_space_group_symop_operation_xyz
'x,y,z'
'-x,-y,z'
'x,-y,-z'
'-x,y,-z'
'x+1/2,y+1/2,z+1/2'
'-x+1/2,-y+1/2,z+1/2'
'x+1/2,-y+1/2,-z+1/2'
'-x+1/2,y+1/2,-z+1/2'
loop_
_atom_site_label
_atom_site_type_symbol
_atom_site_fract_x
_atom_site_fract_y
_atom_site_fract_z
Rb1 Rb 0.000 0.000 0.000
Th1 Th 0.000 0.000 0.500
Cu1 Cu 0.000 0.500 0.136
Te1 Te 0.250 0.199 0.304

(14)
# RbTh2CuTe5 PBE optimized geometry
# N(E_F) ... 2.053 states/eV/f.u.
# Formation energy without anion corrections ... -1000 meV/atom
data_RbTh2CuTe5
_cell_length_a 8.754
_cell_length_b 8.754
_cell_length_c 15.595
_cell_angle_alpha 90.00
_cell_angle_beta 90.00
_cell_angle_gamma 90.00
_space_group_name_H-M_alt 'I 4/m c m'
_space_group_IT_number 140
_space_group_name_Hall '-I 4 2c'
loop_
_atom_site_label
_atom_site_type_symbol
_atom_site_fract_x
_atom_site_fract_y
_atom_site_fract_z
Rb1 Rb 0.000 0.000 0.250
Th1 Th 0.158 0.342 0.000
Cu1 Cu 0.000 0.500 0.250
Te1 Te 0.000 0.000 0.000
Te2 Te 0.144 0.356 0.372

(15)
# Rb4Th3CuTe8 PBE optimized geometry
# N(E_F) ... 6.343 states/eV/f.u.
# Formation energy without anion corrections ... -1019 meV/atom
data_Rb4Th3CuTe8
_cell_length_a 15.865
_cell_length_b 9.075
_cell_length_c 10.062
_cell_angle_alpha 90.00
_cell_angle_beta 121.77
_cell_angle_gamma 90.00
_space_group_name_H-M_alt 'C 1 2/m 1'
_space_group_IT_number 12
loop_
_space_group_symop_operation_xyz
'x,y,z'
'-x,-y,-z'
'-x,y,-z'
'x,-y,z'
'x+1/2,y+1/2,z'
'-x+1/2,-y+1/2,-z'
'-x+1/2,y+1/2,-z'
'x+1/2,-y+1/2,z'
loop_
_atom_site_label
_atom_site_type_symbol
_atom_site_fract_x
_atom_site_fract_y
_atom_site_fract_z
Rb1 Rb 0.000 0.000 0.000
Rb2 Rb 0.000 0.500 0.000
Rb3 Rb 0.250 0.250 0.000
Th1 Th 0.000 0.000 0.500
Th2 Th 0.250 0.250 0.500
Cu1 Cu 0.000 0.500 0.500
Te1 Te 0.016 0.260 0.307
Te2 Te 0.231 0.500 0.699
Te3 Te 0.237 0.000 0.711

(16)
# RbTh2Cu2Te6 PBE optimized geometry
# N(E_F) ... 6.520 states/eV/f.u.
# Formation energy without anion corrections ... -731 meV/atom
data_RbTh2Cu2Te6
_cell_length_a 7.997
_cell_length_b 8.327
_cell_length_c 8.356
_cell_angle_alpha 60.20
_cell_angle_beta 63.38
_cell_angle_gamma 62.66
_space_group_name_H-M_alt 'P -1'
_space_group_IT_number 2
loop_
_space_group_symop_operation_xyz
'x,y,z'
'-x,-y,-z'
loop_
_atom_site_label
_atom_site_type_symbol
_atom_site_fract_x
_atom_site_fract_y
_atom_site_fract_z
Rb1 Rb 0.000 0.000 0.000
Th1 Th 0.005 0.678 0.673
Cu1 Cu 0.435 0.564 0.340
Te1 Te 0.245 0.320 0.542
Te2 Te 0.269 0.524 0.932
Te3 Te 0.280 0.917 0.317

(17)
# Rb3Th3CuTe8 PBE optimized geometry
# Formation energy without anion corrections ... -1016 meV/atom
data_Rb3Th3CuTe8
_cell_length_a 15.139
_cell_length_b 9.574
_cell_length_c 9.744
_cell_angle_alpha 90.00
_cell_angle_beta 118.20
_cell_angle_gamma 90.00
_space_group_name_H-M_alt 'C 1 2/m 1'
_space_group_IT_number 12
loop_
_space_group_symop_operation_xyz
'x,y,z'
'-x,-y,-z'
'-x,y,-z'
'x,-y,z'
'x+1/2,y+1/2,z'
'-x+1/2,-y+1/2,-z'
'-x+1/2,y+1/2,-z'
'x+1/2,-y+1/2,z'
loop_
_atom_site_label
_atom_site_type_symbol
_atom_site_fract_x
_atom_site_fract_y
_atom_site_fract_z
Rb1 Rb 0.000 0.000 0.000
Rb2 Rb 0.250 0.250 0.000
Th1 Th 0.000 0.500 0.500
Th2 Th 0.250 0.250 0.500
Cu1 Cu 0.000 0.000 0.500
Te1 Te 0.024 0.278 0.286
Te2 Te 0.192 0.000 0.664
Te3 Te 0.237 0.500 0.709

(18)
# Rb2ThCu2Te4 PBE optimized geometry
# Formation energy without anion corrections ... -862 meV/atom
data_Rb2ThCu2Te4
_cell_length_a 16.253
_cell_length_b 4.478
_cell_length_c 8.677
_cell_angle_alpha 90.00
_cell_angle_beta 108.65
_cell_angle_gamma 90.00
_space_group_name_H-M_alt 'C 1 2/m 1'
_space_group_IT_number 12
loop_
_space_group_symop_operation_xyz
'x,y,z'
'-x,-y,-z'
'-x,y,-z'
'x,-y,z'
'x+1/2,y+1/2,z'
'-x+1/2,-y+1/2,-z'
'-x+1/2,y+1/2,-z'
'x+1/2,-y+1/2,z'
loop_
_atom_site_label
_atom_site_type_symbol
_atom_site_fract_x
_atom_site_fract_y
_atom_site_fract_z
Rb1 Rb 0.139 0.000 0.068
Th1 Th 0.000 0.000 0.500
Cu1 Cu 0.171 0.500 0.487
Te1 Te 0.018 0.500 0.257
Te2 Te 0.202 0.000 0.665

(19)
# Rb2TmCu2Te4 PBE optimized geometry
# N(E_F) ... 3.941 states/eV/f.u.
# Formation energy without anion corrections ... -825 meV/atom
data_Rb2TmCu2Te4
_cell_length_a 15.950
_cell_length_b 4.266
_cell_length_c 8.821
_cell_angle_alpha 90.00
_cell_angle_beta 108.35
_cell_angle_gamma 90.00
_space_group_name_H-M_alt 'C 1 2/m 1'
_space_group_IT_number 12
loop_
_space_group_symop_operation_xyz
'x,y,z'
'-x,-y,-z'
'-x,y,-z'
'x,-y,z'
'x+1/2,y+1/2,z'
'-x+1/2,-y+1/2,-z'
'-x+1/2,y+1/2,-z'
'x+1/2,-y+1/2,z'
loop_
_atom_site_label
_atom_site_type_symbol
_atom_site_fract_x
_atom_site_fract_y
_atom_site_fract_z
Rb1 Rb 0.132 0.000 0.053
Tm1 Tm 0.000 0.000 0.500
Cu1 Cu 0.184 0.500 0.487
Te1 Te 0.023 0.500 0.272
Te2 Te 0.200 0.000 0.674

(20)
# RbTmCuTe2 PBE optimized geometry
# N(E_F) ... 2.390 states/eV/f.u.
# Formation energy without anion corrections ... -736 meV/atom
data_RbTmCuTe2
_cell_length_a 8.671
_cell_length_b 4.424
_cell_length_c 8.778
_cell_angle_alpha 90.00
_cell_angle_beta 93.98
_cell_angle_gamma 90.00
_space_group_name_H-M_alt 'P 1 2/c 1'
_space_group_IT_number 13
loop_
_space_group_symop_operation_xyz
'x,y,z'
'-x,-y,-z'
'-x,y,-z+1/2'
'x,-y,z+1/2'
loop_
_atom_site_label
_atom_site_type_symbol
_atom_site_fract_x
_atom_site_fract_y
_atom_site_fract_z
Rb1 Rb 0.000 0.091 0.250
Tm1 Tm 0.500 0.497 0.750
Cu1 Cu 0.500 0.000 0.000
Te1 Te 0.270 0.375 0.985